# 1
VASP calculation (PBE-GGA) on a geometry-optimized Y5Co2Te2 structure.

Computed properties:
The value obtained for the energy above the lowest structure with this stoichiometry is 0.568 eV/f.u. The value obtained for the calculated total energy is -58.997 eV per formula unit. The energy relative to the elements, uncorrected is -687 meV per atom.

Unit cell a=15.5894 b=7.6960 c=7.6054 alpha=90.00 beta=90.00 gamma=90.00
Space group Cmce (No. 64)
Unique sites:
Y 0.0000 0.0000 0.0000
Y 0.1160 0.1637 0.3392
Co 0.0000 0.1289 0.6263
Te 0.2100 0.0000 0.0000

=====

# 2
VASP calculation (PBE-GGA) on a geometry-optimized Cu2Pd4Pt3 structure.

Computed properties:
The value obtained for the energy above the lowest structure with this stoichiometry is 0.000 eV/f.u. The value obtained for the calculated total energy is -47.811 eV per formula unit.

Unit cell a=11.7313 b=3.9284 c=6.0958 alpha=90.00 beta=108.44 gamma=90.00
Space group C2/m (No. 12)
Unique sites:
Cu 0.1691 0.0000 0.0009
Pd 0.0541 0.0000 0.3262
Pd 0.2225 0.5000 0.3247
Pt 0.0000 0.5000 0.0000
Pt 0.1140 0.5000 0.6765

=====

# 3
VASP calculation (PBE-GGA) on a geometry-optimized Pa2Zn6Au3 structure.

Computed properties:
The value obtained for the calculated total energy is -38.462 eV per formula unit.

Unit cell a=8.3676 b=8.3676 c=3.4348 alpha=90.00 beta=90.00 gamma=120.00
Space group P-62m (No. 189)
Unique sites:
Pa 0.3333 0.6667 0.0000
Zn 0.0000 0.2875 0.5000
Zn 0.0000 0.8270 0.0000
Au 0.0000 0.5970 0.5000

=====

# 4
VASP calculation (PBE-GGA) on a geometry-optimized Ce8P4S3 structure.

Computed properties:
The value obtained for the calculated total energy is -105.233 eV per formula unit. The energy relative to the elements, uncorrected is -1583 meV per atom.

Unit cell a=11.4269 b=11.4356 c=8.0803 alpha=90.00 beta=134.92 gamma=90.00
Space group C2/m (No. 12)
Unique sites:
Ce 0.0000 0.2483 0.0000
Ce 0.0000 0.2503 0.5000
Ce 0.2479 0.0000 0.4949
Ce 0.2495 0.0000 0.0006
P 0.0000 0.0000 0.0000
P 0.0000 0.5000 0.5000
P 0.2500 0.2500 0.0000
S 0.0000 0.0000 0.5000
S 0.2500 0.2500 0.5000